Below is a relaxed structure of Pm2DyY6Th, with properties calculated at the PBE level.

Cell: 8.7532 8.7532 9.8185 Å, 95.08 95.08 117.04°
Last column: nearest neighbours and their distance in Å.
Atoms (fractional coordinates):
Pm1 0.1932 0.2881 0.0475  5 Y 3.28-3.53, 2 Th 3.36-3.37, 1 Dy 3.54
Pm2 0.2881 0.1932 0.5475  5 Y 3.28-3.53, 2 Th 3.36-3.37, 1 Dy 3.54
Pm3 0.7119 0.8068 0.4525  5 Y 3.28-3.53, 2 Th 3.36-3.37, 1 Dy 3.54
Pm4 0.8068 0.7119 0.9525  5 Y 3.28-3.53, 2 Th 3.36-3.37, 1 Dy 3.54
Dy1 0.4049 0.5951 0.7500  8 Y 3.42-3.78, 2 Pm 3.54
Dy2 0.5951 0.4049 0.2500  8 Y 3.42-3.78, 2 Pm 3.54
Y1 0.0193 0.5763 0.1841  4 Y 3.30-3.69, 1 Pm 3.43, 1 Dy 3.46, 1 Th 3.54
Y2 0.1161 0.7441 0.5567  8 Y 3.43-3.81, 1 Pm 3.53, 1 Th 3.61, 1 Dy 3.78
Y3 0.2559 0.8839 0.9433  8 Y 3.43-3.81, 1 Pm 3.53, 1 Th 3.61, 1 Dy 3.78
Y4 0.2997 0.5074 0.3824  3 Pm 3.28-3.48, 4 Y 3.30-3.56, 2 Dy 3.42-3.57
Y5 0.4237 0.9807 0.3159  4 Y 3.30-3.69, 1 Pm 3.43, 1 Dy 3.46, 1 Th 3.54
Y6 0.4926 0.7003 0.1176  3 Pm 3.28-3.48, 4 Y 3.30-3.56, 2 Dy 3.42-3.57
Y7 0.5074 0.2997 0.8824  3 Pm 3.28-3.48, 4 Y 3.30-3.56, 2 Dy 3.42-3.57
Y8 0.5763 0.0193 0.6841  4 Y 3.30-3.69, 1 Pm 3.43, 1 Dy 3.46, 1 Th 3.54
Y9 0.7003 0.4926 0.6176  3 Pm 3.28-3.48, 4 Y 3.30-3.56, 2 Dy 3.42-3.57
Y10 0.7441 0.1161 0.0567  8 Y 3.43-3.81, 1 Pm 3.53, 1 Th 3.61, 1 Dy 3.78
Y11 0.8839 0.2559 0.4433  8 Y 3.43-3.81, 1 Pm 3.53, 1 Th 3.61, 1 Dy 3.78
Y12 0.9807 0.4237 0.8159  4 Y 3.30-3.69, 1 Pm 3.43, 1 Dy 3.46, 1 Th 3.54
Th1 0.0196 0.9804 0.2500  4 Pm 3.36-3.37, 4 Y 3.54-3.61
Th2 0.9804 0.0196 0.7500  4 Pm 3.36-3.37, 4 Y 3.54-3.61

Calculated values
energy relative to the elements	148	meV per atom
space-group type	C2/c, No. 15

Below is a relaxed structure of Li5GaAu4, with properties calculated at the PBE level.

Cell: 6.9249 6.9249 5.4762 Å, 104.39 104.39 37.79°
Last column: nearest neighbours and their distance in Å.
Atoms (fractional coordinates):
Li1 0.0000 0.0000 0.0000  2 Ga 2.74, 6 Li 2.77-2.81, 4 Au 3.02
Li2 0.2044 0.2044 0.3103  7 Au 2.70-2.77, 2 Li 2.77-2.92
Li3 0.3946 0.3946 0.1266  6 Au 2.61-2.79, 2 Li 2.81
Li4 0.6054 0.6054 0.8734  6 Au 2.61-2.79, 2 Li 2.81
Li5 0.7956 0.7956 0.6897  7 Au 2.70-2.77, 2 Li 2.77-2.92
Ga1 0.0000 0.0000 0.5000  6 Au 2.73-2.78, 2 Li 2.74
Au1 0.2011 0.2011 0.8056  7 Li 2.64-2.75, 1 Ga 2.73
Au2 0.4043 0.4043 0.6423  6 Li 2.61-2.79, 2 Ga 2.78
Au3 0.5957 0.5957 0.3577  6 Li 2.61-2.79, 2 Ga 2.78
Au4 0.7989 0.7989 0.1944  7 Li 2.64-2.75, 1 Ga 2.73

Calculated values
energy relative to the elements	-497	meV per atom
distance to the lowest polymorph of the same formula	0.03	eV/f.u.
space-group type	C2/m, No. 12

Below is a relaxed structure of Ac2PmIr3O12, with properties calculated at the PBE level.

Cell: 6.7937 6.7937 6.7937 Å, 64.57 64.57 64.57°
Last column: nearest neighbours and their distance in Å.
Atoms (fractional coordinates):
Ac1 0.1164 0.1164 0.1164  3 O 2.38
Ac2 0.8836 0.8836 0.8836  3 O 2.38
Pm1 0.5000 0.5000 0.5000  6 O 2.50
Ir1 0.0000 0.5000 0.5000  6 O 1.95-1.98
Ir2 0.5000 0.0000 0.5000  6 O 1.95-1.98
Ir3 0.5000 0.5000 0.0000  6 O 1.95-1.98
O1 0.0743 0.6431 0.6431  1 Ir 1.95
O2 0.2150 0.2150 0.6348  2 Ir 1.98
O3 0.2150 0.6348 0.2150  2 Ir 1.98
O4 0.3569 0.3569 0.9257  1 Ir 1.95
O5 0.3569 0.9257 0.3569  1 Ir 1.95
O6 0.3652 0.7850 0.7850  2 Ir 1.98
O7 0.6348 0.2150 0.2150  2 Ir 1.98
O8 0.6431 0.0743 0.6431  1 Ir 1.95
O9 0.6431 0.6431 0.0743  1 Ir 1.95
O10 0.7850 0.3652 0.7850  2 Ir 1.98
O11 0.7850 0.7850 0.3652  2 Ir 1.98
O12 0.9257 0.3569 0.3569  1 Ir 1.95

Calculated values
formation energy (no corrections)	-1.787	eV per atom
space-group type	R-3m, No. 166

Below is a relaxed structure of Ce2NdHg4, with properties calculated at the PBE level.

Cell: 6.4886 6.4886 5.3204 Å, 90.00 90.00 106.14°
Last column: nearest neighbours and their distance in Å.
Atoms (fractional coordinates):
Ce1 0.2175 0.7825 0.0000  8 Hg 3.17-3.37
Ce2 0.7825 0.2175 0.0000  8 Hg 3.17-3.37
Nd1 0.5000 0.5000 0.5000  8 Hg 3.14-3.24
Hg1 0.0000 0.5000 0.5000  2 Nd 3.24, 4 Ce 3.32
Hg2 0.2854 0.2854 0.0000  2 Nd 3.14, 4 Ce 3.17-3.37, 1 Hg 3.35
Hg3 0.5000 0.0000 0.5000  2 Nd 3.24, 4 Ce 3.32
Hg4 0.7146 0.7146 0.0000  2 Nd 3.14, 4 Ce 3.17-3.37, 1 Hg 3.35

Calculated values
energy relative to the elements	-247	meV per atom
distance to the lowest polymorph of the same formula	0.00	eV/f.u.
space-group type	Cmmm, No. 65

Below is a relaxed structure of Ho6Fe2Rh, with properties calculated at the PBE level.

Cell: 8.1610 8.1610 8.1610 Å, 111.58 109.10 107.76°
Last column: nearest neighbours and their distance in Å.
Atoms (fractional coordinates):
Ho1 0.0161 0.1976 0.8185  3 Fe 2.74-2.81
Ho2 0.2581 0.3080 0.5661  2 Rh 2.89-3.01, 2 Fe 2.96-3.09
Ho3 0.2582 0.5789 0.3207  1 Rh 2.98, 3 Fe 3.04-3.06, 1 Ho 3.29
Ho4 0.2581 0.6920 0.9501  2 Rh 2.89-3.01, 2 Fe 2.96-3.09
Ho5 0.2582 0.9375 0.6793  1 Rh 2.98, 3 Fe 3.04-3.06, 1 Ho 3.29
Ho6 0.3790 0.1976 0.1815  3 Fe 2.74-2.81
Ho7 0.6210 0.8024 0.8185  3 Fe 2.74-2.81
Ho8 0.7418 0.0625 0.3207  1 Rh 2.98, 3 Fe 3.04-3.06, 1 Ho 3.29
Ho9 0.7419 0.3080 0.0499  2 Rh 2.89-3.01, 2 Fe 2.96-3.09
Ho10 0.7418 0.4211 0.6793  1 Rh 2.98, 3 Fe 3.04-3.06, 1 Ho 3.29
Ho11 0.7419 0.6920 0.4339  2 Rh 2.89-3.01, 2 Fe 2.96-3.09
Ho12 0.9839 0.8024 0.1815  3 Fe 2.74-2.81
Fe1 0.0000 0.1252 0.1252  1 Fe 2.30
Fe2 0.0000 0.8748 0.8748  1 Fe 2.30
Fe3 0.3895 0.0000 0.3895  1 Fe 2.09
Fe4 0.6105 0.0000 0.6105  1 Fe 2.09
Rh1 0.0000 0.5000 0.5000  8 Ho 2.98-3.01
Rh2 0.5000 0.5000 0.0000  4 Ho 2.89

Calculated values
energy relative to the elements	-216	meV per atom
space-group type	Immm, No. 71

Below is a relaxed structure of ZrPb2W, with properties calculated at the PBE level.

Cell: 3.1817 4.7281 6.0022 Å, 90.00 99.05 90.00°
Last column: nearest neighbours and their distance in Å.
Atoms (fractional coordinates):
Zr1 0.0000 0.0000 0.0000  8 Pb 3.07-3.42, 2 W 3.17, 2 Zr 3.18
Pb1 0.3102 0.5000 0.7438  2 W 2.89, 2 Zr 3.07, 3 Pb 3.12-3.18
Pb2 0.6898 0.5000 0.2562  2 W 2.89, 2 Zr 3.07, 3 Pb 3.12-3.18
W1 0.5000 0.0000 0.5000  4 Pb 2.89, 2 Zr 3.17, 2 W 3.18

Calculated values
energy relative to the elements	553	meV per atom
distance to the lowest polymorph of the same formula	0.82	eV/f.u.
space-group type	P2/m, No. 10

Below is a relaxed structure of MnIn2H, with properties calculated at the PBE level.

Cell: 4.6516 4.6516 4.6516 Å, 60.00 60.00 60.00°
Last column: nearest neighbours and their distance in Å.
Atoms (fractional coordinates):
Mn1 0.0000 0.0000 0.0000  8 In 2.85
In1 0.2500 0.2500 0.2500  4 H 2.85, 4 Mn 2.85
In2 0.7500 0.7500 0.7500  4 H 2.85, 4 Mn 2.85
H1 0.5000 0.5000 0.5000  8 In 2.85

Calculated values
distance to the lowest polymorph of the same formula	0.49	eV/f.u.
space-group type	Fm-3m, No. 225

Below is a relaxed structure of MgRe3, with properties calculated at the PBE level.

Cell: 9.4030 9.4030 9.4030 Å, 17.10 17.10 17.10°
Last column: nearest neighbours and their distance in Å.
Atoms (fractional coordinates):
Mg1 0.0000 0.0000 0.0000  6 Mg 2.80, 6 Re 2.92
Re1 0.2457 0.2457 0.2457  9 Re 2.73-2.80, 3 Mg 2.92
Re2 0.5000 0.5000 0.5000  12 Re 2.73-2.80
Re3 0.7543 0.7543 0.7543  9 Re 2.73-2.80, 3 Mg 2.92

Calculated values
energy relative to the elements	178	meV per atom
distance to the lowest polymorph of the same formula	0.00	eV/f.u.
space-group type	R-3m, No. 166

Below is a relaxed structure of KZrH3, with properties calculated at the PBE level.

Cell: 4.1297 4.1297 4.1297 Å, 90.00 90.00 90.00°
Last column: nearest neighbours and their distance in Å.
Atoms (fractional coordinates):
K1 0.0000 0.0000 0.0000  12 H 2.92
Zr1 0.5000 0.5000 0.5000  6 H 2.06
H1 0.0000 0.5000 0.5000  2 Zr 2.06
H2 0.5000 0.0000 0.5000  2 Zr 2.06
H3 0.5000 0.5000 0.0000  2 Zr 2.06

Calculated values
distance to the lowest polymorph of the same formula	0.00	eV/f.u.
space-group type	Pm-3m, No. 221

Below is a relaxed structure of Pu2Ge2Os, with properties calculated at the PBE level.

Cell: 3.8270 3.8270 6.9927 Å, 90.00 90.00 120.00°
Last column: nearest neighbours and their distance in Å.
Atoms (fractional coordinates):
Pu1 0.3333 0.6667 0.0740  3 Pu 2.44
Pu2 0.6667 0.3333 0.9260  3 Pu 2.44
Ge1 0.3333 0.6667 0.6585  3 Os 2.47
Ge2 0.6667 0.3333 0.3415  3 Os 2.47
Os1 0.0000 0.0000 0.5000  6 Ge 2.47

Calculated values
energy relative to the elements	74	meV per atom
distance to the lowest polymorph of the same formula	2.07	eV/f.u.
space-group type	P-3m1, No. 164

Below is a relaxed structure of InSn2HgPb, with properties calculated at the PBE level.

Cell: 8.2240 8.2240 6.3056 Å, 90.00 90.00 134.99°
Last column: nearest neighbours and their distance in Å.
Atoms (fractional coordinates):
In1 0.1513 0.8487 0.7500  1 Hg 2.93, 4 Sn 3.21, 2 Pb 3.26
In2 0.8487 0.1513 0.2500  1 Hg 2.93, 4 Sn 3.21, 2 Pb 3.26
Sn1 0.2523 0.2523 0.0000  4 Sn 3.12-3.18, 2 In 3.21, 2 Hg 3.25
Sn2 0.2523 0.2523 0.5000  4 Sn 3.12-3.18, 2 In 3.21, 2 Hg 3.25
Sn3 0.7477 0.7477 0.0000  4 Sn 3.12-3.18, 2 In 3.21, 2 Hg 3.25
Sn4 0.7477 0.7477 0.5000  4 Sn 3.12-3.18, 2 In 3.21, 2 Hg 3.25
Hg1 0.3440 0.6560 0.7500  1 In 2.93, 2 Pb 3.24, 4 Sn 3.25
Hg2 0.6560 0.3440 0.2500  1 In 2.93, 2 Pb 3.24, 4 Sn 3.25
Pb1 0.2055 0.7945 0.2500  2 Hg 3.24, 2 In 3.26
Pb2 0.7945 0.2055 0.7500  2 Hg 3.24, 2 In 3.26

Calculated values
energy relative to the elements	114	meV per atom
space-group type	Cmcm, No. 63

Below is a relaxed structure of NiAu3N, with properties calculated at the PBE level.

Cell: 4.6940 4.6940 4.6940 Å, 90.00 90.00 90.00°
Last column: nearest neighbours and their distance in Å.
Atoms (fractional coordinates):
Ni1 0.0000 0.0000 0.0000  6 Au 2.35
Au1 0.0000 0.0000 0.5000  2 Ni 2.35
Au2 0.0000 0.5000 0.0000  2 Ni 2.35
Au3 0.5000 0.0000 0.0000  2 Ni 2.35
N1 0.5000 0.5000 0.5000  12 Au 3.32

Calculated values
formation energy (no corrections)	1.951	eV per atom
distance to the lowest polymorph of the same formula	5.19	eV/f.u.
space-group type	Pm-3m, No. 221

Energy per entry: -5.883 -3.068 -7.290 -2.796 -5.966 -6.676 -3.911 -9.556 -3.993 -9.752 -2.837 -2.837 eV per atom